First-principles (PBE) data for a relaxed NaAcAlHg crystal, as listed in Alexandria via LeMat-Bulk.

a b c (Å): 7.722 7.722 7.722
angles (deg): 90.00 90.00 90.00
Fractional coordinates of all 16 atoms:
Na: 0.000 0.000 0.000
Na: 0.000 0.500 0.500
Na: 0.500 0.000 0.500
Na: 0.500 0.500 0.000
Ac: 0.000 0.000 0.500
Ac: 0.000 0.500 0.000
Ac: 0.500 0.000 0.000
Ac: 0.500 0.500 0.500
Al: 0.250 0.250 0.750
Al: 0.250 0.750 0.250
Al: 0.750 0.250 0.250
Al: 0.750 0.750 0.750
Hg: 0.250 0.250 0.250
Hg: 0.250 0.750 0.750
Hg: 0.750 0.250 0.750
Hg: 0.750 0.750 0.250

The space-group type is F-43m (216). Its total magnetic moment is 0.00 μB/f.u.

---

First-principles (PBE) data for a relaxed AcNdAlHg crystal, as listed in Alexandria via LeMat-Bulk.

a b c (Å): 7.834 7.834 7.834
angles (deg): 90.00 90.00 90.00
Fractional coordinates of all 16 atoms:
Ac: 0.000 0.000 0.000
Ac: 0.000 0.500 0.500
Ac: 0.500 0.000 0.500
Ac: 0.500 0.500 0.000
Nd: 0.000 0.000 0.500
Nd: 0.000 0.500 0.000
Nd: 0.500 0.000 0.000
Nd: 0.500 0.500 0.500
Al: 0.250 0.250 0.750
Al: 0.250 0.750 0.250
Al: 0.750 0.250 0.250
Al: 0.750 0.750 0.750
Hg: 0.250 0.250 0.250
Hg: 0.250 0.750 0.750
Hg: 0.750 0.250 0.750
Hg: 0.750 0.750 0.250

The space-group type is F-43m (216). Its total magnetic moment is 0.00 μB/f.u.

---

Number 1: E_tot -2.55 eV per atom. Number 2: E_tot -3.56 eV per atom.